Record 1
## LaSc2Be (PBE)

Data for crystalline LaSc2Be at its relaxed geometry.

Cell: 4.566 3.464 6.229 Å, 73.22 90.00 90.00°
Sites, in units of the cell vectors:
Sc1 0.000 0.083 0.041
Sc2 0.000 0.417 0.459
Be1 0.500 0.250 0.250
La1 0.500 0.750 0.750

Output
E_form = 0.237 eV per atom
total energy = -5.092 eV/atom
crystal system = monoclinic
mass density = 4.2 g cm⁻³
calculated volume = 94 Å³/cell

Record 2
## LiNdEuCd (PBE)

Data for crystalline LiNdEuCd at its relaxed geometry.

Cell: 5.498 5.498 5.498 Å, 60.00 60.00 60.00°
Sites, in units of the cell vectors:
Eu1 0.500 0.500 0.500
Li1 0.250 0.250 0.250
Nd1 0.000 0.000 0.000
Cd1 0.750 0.750 0.750

Output
E_form = -0.121 eV per atom
total energy = -4.589 eV/atom
crystal system = cubic
mass density = 5.9 g cm⁻³
calculated volume = 118 Å³/cell

Record 3
## TlBr2 (PBE)

Data for crystalline TlBr2 at its relaxed geometry.

Cell: 9.088 9.088 3.938 Å, 90.00 90.00 120.00°
Sites, in units of the cell vectors:
Tl1 0.333 0.667 0.000
Tl2 0.667 0.333 0.000
Tl3 0.000 0.000 0.500
Br1 0.230 0.000 0.000
Br2 0.000 0.230 0.000
Br3 0.770 0.770 0.000
Br4 0.554 0.000 0.500
Br5 0.000 0.554 0.500
Br6 0.446 0.446 0.500

Output
total energy = -2.354 eV/atom
crystal system = hexagonal
mass density = 6.4 g cm⁻³
uncorrected formation energy = -450 meV per atom
calculated volume = 282 Å³/cell